First-principles (PBE+U) data for a relaxed structure of KSrSmWO6, as listed in the Alexandria database.

As for the symmetry: F-43m. The calculation puts the density at 6.035 Mg/m³. The density of states at the Fermi level comes out at 0.00 states/eV per cell. The calculation puts the total energy at -0.5183 Ry/atom.

Cell lengths 6.007, 6.007, 6.007 Å; angles 60.00, 60.00, 60.00 degrees
Element x y z (fractional)
K1 0.000 0.000 0.000
Sr1 0.500 0.500 0.500
Sm1 0.250 0.250 0.250
W1 0.750 0.750 0.750
O1 0.520 0.520 0.980
O2 0.520 0.980 0.520
O3 0.520 0.980 0.980
O4 0.980 0.520 0.520
O5 0.980 0.520 0.980
O6 0.980 0.980 0.520